Density functional theory data (GGA-PBE) for a geometry-optimized FeNi2Ag structure.

The structure belongs to space group I-4m2 (No. 119); the cell edges are 3.6753, 3.6753 and 7.6330 Å and the angles 90.00°, 90.00° and 90.00°. The inequivalent atoms are Fe at (0.0000, 0.0000, 0.0000), Ni at (0.0000, 0.0000, 0.5000), Ni at (0.0000, 0.5000, 0.2500) and Ag at (0.0000, 0.5000, 0.7500).

The value obtained for the uncorrected energy is -44.05 eV for the cell shown. As for the crystal system: tetragonal. The formation energy is 0.21 eV per atom. Its energy above the most stable polymorph in this dataset is 94 meV per atom. The total magnetization comes out at 7.9 Bohr magnetons per cell.

Density functional theory data (GGA-PBE) for a geometry-optimized FeNi2Ag structure.

The structure belongs to space group C2/m (No. 12); the cell edges are 8.4649, 2.6462 and 4.7271 Å and the angles 90.00°, 100.35° and 90.00°. The inequivalent atoms are Fe at (0.0000, 0.0000, 0.0000), Ni at (0.2423, 0.5000, 0.2216) and Ag at (0.0000, 0.5000, 0.5000).

The value obtained for the uncorrected energy is -44.03 eV for the cell shown. As for the crystal system: monoclinic. The formation energy is 0.22 eV per atom. Its energy above the most stable polymorph in this dataset is 97 meV per atom. The total magnetization comes out at 7.9 Bohr magnetons per cell.

Density functional theory data (GGA-PBE) for a geometry-optimized FeNi4Ag structure.

The structure belongs to space group F-43m (No. 216); the cell edges are 6.6882, 6.6882 and 6.6882 Å and the angles 90.00°, 90.00° and 90.00°. The inequivalent atoms are Fe at (0.0000, 0.0000, 0.0000), Ni at (0.1252, 0.1252, 0.6252) and Ag at (0.2500, 0.2500, 0.2500).

The value obtained for the uncorrected energy is -134.20 eV for the cell shown. As for the crystal system: cubic. The formation energy is 0.15 eV per atom. The total magnetization comes out at 20.1 Bohr magnetons per cell.

Density functional theory data (GGA-PBE) for a geometry-optimized FeNi2Ag structure.

The structure belongs to space group R-3m (No. 166, hexagonal axes); the cell edges are 2.6400, 2.6400 and 25.7567 Å and the angles 90.00°, 90.00° and 120.00°. The inequivalent atoms are Fe at (0.0000, 0.0000, 0.0000), Ni at (0.0000, 0.0000, 0.2571) and Ag at (0.0000, 0.0000, 0.5000).

The value obtained for the uncorrected energy is -66.89 eV for the cell shown. As for the crystal system: trigonal. The formation energy is 0.15 eV per atom. Its energy above the most stable polymorph in this dataset is 27 meV per atom. The total magnetization comes out at 11.3 Bohr magnetons per cell.

Density functional theory data (GGA-PBE) for a geometry-optimized FeNi2Ag structure.

The structure belongs to space group R3m (No. 160, hexagonal axes); the cell edges are 2.6338, 2.6338 and 25.9174 Å and the angles 90.00°, 90.00° and 120.00°. The inequivalent atoms are Fe at (0.0000, 0.0000, 0.0000), Ni at (0.0000, 0.0000, 0.4858), Ni at (0.0000, 0.0000, 0.7425) and Ag at (0.0000, 0.0000, 0.2411).

The value obtained for the uncorrected energy is -66.00 eV for the cell shown. As for the crystal system: trigonal. The formation energy is 0.22 eV per atom. Its energy above the most stable polymorph in this dataset is 101 meV per atom. The total magnetization comes out at 10.9 Bohr magnetons per cell.

Density functional theory data (GGA-PBE) for a geometry-optimized FeNi2Ag structure.

The structure belongs to space group P4mm (No. 99); the cell edges are 2.6481, 2.6481 and 7.3837 Å and the angles 90.00°, 90.00° and 90.00°. The inequivalent atoms are Fe at (0.0000, 0.0000, 0.0000), Ni at (0.0000, 0.0000, 0.4434), Ni at (0.5000, 0.5000, 0.2229) and Ag at (0.5000, 0.5000, 0.7153).

The value obtained for the uncorrected energy is -22.10 eV for the cell shown. As for the crystal system: tetragonal. The formation energy is 0.19 eV per atom. Its energy above the most stable polymorph in this dataset is 76 meV per atom. The total magnetization comes out at 3.8 Bohr magnetons per cell.

| no. | density of states at the Fermi level (states/eV per cell) |
| --- | --- |
| 1 | 5.87 |
| 2 | 9.01 |
| 3 | 22.47 |
| 4 | 5.22 |
| 5 | 18.02 |
| 6 | 5.36 |